Crystalline TeAuSeBr2 at its relaxed geometry, computed with GGA-PBE.

The structure belongs to space group P4/mmm (No. 123); the cell edges are 5.1224, 5.1224 and 5.4000 Å and the angles 90.00°, 90.00° and 90.00°. The distinct sites, in fractional coordinates, are Te at (0.0000, 0.0000, 0.0000), Au at (0.5000, 0.5000, 0.5000), Se at (0.5000, 0.5000, 0.0000) and Br at (0.0000, 0.5000, 0.5000).

The value obtained for the uncorrected formation energy is 1.92 eV/f.u. The value obtained for the energy above the most stable polymorph in this dataset is 0 meV per atom.



Crystalline TiAuSe2Br at its relaxed geometry, computed with GGA-PBE.

The structure belongs to space group P4/mmm (No. 123); the cell edges are 5.1359, 5.1359 and 5.0515 Å and the angles 90.00°, 90.00° and 90.00°. The distinct sites, in fractional coordinates, are Ti at (0.0000, 0.0000, 0.0000), Au at (0.5000, 0.5000, 0.5000), Se at (0.0000, 0.5000, 0.5000) and Br at (0.5000, 0.5000, 0.0000).

The value obtained for the uncorrected formation energy is 2.84 eV/f.u. The value obtained for the energy above the most stable polymorph in this dataset is 710 meV per atom.



Crystalline TiAuSe2Br at its relaxed geometry, computed with GGA-PBE.

The structure belongs to space group P4/mmm (No. 123); the cell edges are 4.9341, 4.9341 and 5.1124 Å and the angles 90.00°, 90.00° and 90.00°. The distinct sites, in fractional coordinates, are Ti at (0.0000, 0.0000, 0.0000), Au at (0.5000, 0.5000, 0.5000), Se at (0.0000, 0.5000, 0.0000) and Br at (0.0000, 0.0000, 0.5000).

The value obtained for the uncorrected formation energy is -0.70 eV/f.u. The value obtained for the energy above the most stable polymorph in this dataset is 0 meV per atom.



Crystalline TiAuSeBr2 at its relaxed geometry, computed with GGA-PBE.

The structure belongs to space group P4/mmm (No. 123); the cell edges are 5.0595, 5.0595 and 5.0131 Å and the angles 90.00°, 90.00° and 90.00°. The distinct sites, in fractional coordinates, are Ti at (0.0000, 0.0000, 0.0000), Au at (0.5000, 0.5000, 0.5000), Se at (0.0000, 0.0000, 0.5000) and Br at (0.0000, 0.5000, 0.0000).

The value obtained for the uncorrected formation energy is -1.12 eV/f.u. The value obtained for the energy above the most stable polymorph in this dataset is 0 meV per atom.



Crystalline TlAuSe2Br at its relaxed geometry, computed with GGA-PBE.

The structure belongs to space group P4/mmm (No. 123); the cell edges are 5.1527, 5.1527 and 5.4865 Å and the angles 90.00°, 90.00° and 90.00°. The distinct sites, in fractional coordinates, are Tl at (0.0000, 0.0000, 0.0000), Au at (0.5000, 0.5000, 0.5000), Se at (0.0000, 0.5000, 0.5000) and Br at (0.5000, 0.5000, 0.0000).

The value obtained for the uncorrected formation energy is 0.41 eV/f.u. The value obtained for the energy above the most stable polymorph in this dataset is 0 meV per atom.



Crystalline TlAuSeBr2 at its relaxed geometry, computed with GGA-PBE.

The structure belongs to space group P4/mmm (No. 123); the cell edges are 5.4157, 5.4157 and 5.1748 Å and the angles 90.00°, 90.00° and 90.00°. The distinct sites, in fractional coordinates, are Tl at (0.0000, 0.0000, 0.0000), Au at (0.5000, 0.5000, 0.5000), Se at (0.5000, 0.5000, 0.0000) and Br at (0.0000, 0.5000, 0.5000).

The value obtained for the uncorrected formation energy is -0.63 eV/f.u. The value obtained for the energy above the most stable polymorph in this dataset is 0 meV per atom.



Crystalline VAuSeBr2 at its relaxed geometry, computed with GGA-PBE.

The structure belongs to space group P4/mmm (No. 123); the cell edges are 5.0458, 5.0458 and 4.7601 Å and the angles 90.00°, 90.00° and 90.00°. The distinct sites, in fractional coordinates, are V at (0.0000, 0.0000, 0.0000), Au at (0.5000, 0.5000, 0.5000), Se at (0.0000, 0.0000, 0.5000) and Br at (0.0000, 0.5000, 0.0000).

The value obtained for the uncorrected formation energy is 0.65 eV/f.u. The value obtained for the energy above the most stable polymorph in this dataset is 0 meV per atom.



Crystalline WAuSe2Br at its relaxed geometry, computed with GGA-PBE.

The structure belongs to space group P4/mmm (No. 123); the cell edges are 5.1409, 5.1409 and 5.0029 Å and the angles 90.00°, 90.00° and 90.00°. The distinct sites, in fractional coordinates, are W at (0.0000, 0.0000, 0.0000), Au at (0.5000, 0.5000, 0.5000), Se at (0.0000, 0.5000, 0.5000) and Br at (0.5000, 0.5000, 0.0000).

The value obtained for the uncorrected formation energy is 6.93 eV/f.u. The value obtained for the energy above the most stable polymorph in this dataset is 880 meV per atom.